Entry 1:
{"formula": "Lu2As3W4C3", "functional": "PBE-GGA", "state": "optimized geometry", "density_g_cm3": 12.6, "e_tot_ev_per_atom": -8.82, "lattice_angstrom": [[4.9707, -2.8999, 0.0000], [4.9707, 2.8999, 0.0000], [-3.1051, 0.0000, 12.3099]], "species": ["Lu", "Lu", "Lu", "Lu", "As", "As", "As", "As", "As", "As", "W", "W", "W", "W", "W", "W", "W", "W", "C", "C", "C", "C", "C", "C"], "fractional_positions": [[0.0341, 0.8742, 0.6109], [0.1258, 0.9659, 0.8891], [0.8742, 0.0341, 0.1109], [0.9659, 0.1258, 0.3891], [0.0739, 0.2923, 0.7463], [0.2923, 0.0739, 0.2463], [0.4493, 0.5507, 0.7500], [0.5507, 0.4493, 0.2500], [0.7077, 0.9261, 0.7537], [0.9261, 0.7077, 0.2537], [0.1989, 0.3457, 0.0820], [0.3005, 0.4880, 0.4172], [0.3457, 0.1989, 0.5820], [0.4880, 0.3005, 0.9172], [0.5120, 0.6995, 0.0828], [0.6543, 0.8011, 0.4180], [0.6995, 0.5120, 0.5828], [0.8011, 0.6543, 0.9180], [0.0000, 0.5000, 0.5000], [0.1694, 0.6560, 0.9989], [0.3440, 0.8306, 0.5011], [0.5000, 0.0000, 0.0000], [0.6560, 0.1694, 0.4989], [0.8306, 0.3440, 0.0011]]}

Entry 2:
{"formula": "Lu4As3W2C3", "functional": "PBE-GGA", "state": "optimized geometry", "density_g_cm3": 11.3, "e_tot_ev_per_atom": -7.73, "lattice_angstrom": [[5.1269, -2.9893, 0.0000], [5.1269, 2.9893, 0.0000], [-3.4307, 0.0000, 12.7665]], "species": ["Lu", "Lu", "Lu", "Lu", "Lu", "Lu", "Lu", "Lu", "As", "As", "As", "As", "As", "As", "W", "W", "W", "W", "C", "C", "C", "C", "C", "C"], "fractional_positions": [[0.0448, 0.1909, 0.1041], [0.1188, 0.2989, 0.3954], [0.1909, 0.0448, 0.6041], [0.2989, 0.1188, 0.8954], [0.7011, 0.8812, 0.1046], [0.8091, 0.9552, 0.3959], [0.8812, 0.7011, 0.6046], [0.9552, 0.8091, 0.8959], [0.1383, 0.8617, 0.2500], [0.2963, 0.4141, 0.7511], [0.4141, 0.2963, 0.2511], [0.5859, 0.7037, 0.7489], [0.7037, 0.5859, 0.2489], [0.8617, 0.1383, 0.7500], [0.3467, 0.5244, 0.0779], [0.4756, 0.6533, 0.4221], [0.5244, 0.3467, 0.5779], [0.6533, 0.4756, 0.9221], [0.0000, 0.5000, 0.0000], [0.1933, 0.6530, 0.4997], [0.3470, 0.8067, 0.0003], [0.5000, 0.0000, 0.5000], [0.6530, 0.1933, 0.9997], [0.8067, 0.3470, 0.5003]]}

Entry 3:
{"formula": "Lu4ZnAsC2", "functional": "PBE-GGA", "state": "optimized geometry", "density_g_cm3": 9.3, "e_tot_ev_per_atom": -5.85, "lattice_angstrom": [[3.5568, 0.0000, 0.0000], [-1.7784, 3.0803, 0.0000], [0.0000, 0.0000, 14.0548]], "species": ["Lu", "Lu", "Lu", "Lu", "Zn", "As", "C", "C"], "fractional_positions": [[0.0000, 0.0000, 0.1478], [0.0000, 0.0000, 0.8522], [0.6667, 0.3333, 0.3329], [0.6667, 0.3333, 0.6671], [0.0000, 0.0000, 0.5000], [0.6667, 0.3333, 0.0000], [0.3333, 0.6667, 0.2430], [0.3333, 0.6667, 0.7570]]}